DFT (PBE) results for a geometry-optimized La6CeTm2 structure.

- calculated formation energy (eV/atom) = 0.05

Lattice parameters (Å, degrees): 5.187 8.184 8.164 84.25 71.48 71.52
Fractional coordinates of all 9 atoms:
La1 0.001 0.827 0.171
La2 0.672 0.826 0.829
La3 0.660 0.180 0.500
La4 0.328 0.174 0.171
La5 0.999 0.173 0.829
La6 0.340 0.820 0.500
Tm1 0.334 0.500 0.832
Tm2 0.666 0.500 0.168
Ce1 0.000 0.500 0.500